Mg3P2Ir2 | PBE | relaxed

Results
ρ: 7.43 g cm⁻³
Calculated total energy: -5.32 eV/atom
Spin magnetization: 0.00 μB/f.u.

Cell: 5.092 5.092 13.298 Å, 90.00 90.00 137.65°
Positions (direct):
1 Mg 0.022 0.978 0.750
2 Mg 0.293 0.707 0.106
3 Mg 0.293 0.707 0.394
4 Mg 0.707 0.293 0.606
5 Mg 0.707 0.293 0.894
6 Mg 0.978 0.022 0.250
7 P 0.419 0.581 0.597
8 P 0.419 0.581 0.903
9 P 0.581 0.419 0.097
10 P 0.581 0.419 0.403
11 Ir 0.000 0.000 0.000
12 Ir 0.000 0.000 0.500
13 Ir 0.309 0.691 0.750
14 Ir 0.691 0.309 0.250